Pm3NdY2Te6: relaxed, PBE.

The formation energy (no corrections) comes out at -1.3791 eV per atom. For the density of states at the Fermi level, the calculation gives 13.3 states/eV per cell. The total magnetization is 0.000 μB per formula unit. The value obtained for the total energy is -5.612 eV/atom.

The structure belongs to space group C2/m (No. 12); the cell edges are 19.347, 4.414 and 8.930 Å and the angles 90.00°, 103.23° and 90.00°. Symmetry generates all atoms from Pm at (0.000, 0.000, 0.000), Pm at (0.162, 0.500, 0.333), Nd at (0.000, 0.000, 0.500), Y at (0.165, 0.500, 0.830), Te at (0.003, 0.500, 0.754), Te at (0.169, 0.000, 0.590) and Te at (0.170, 0.000, 0.079).

=====

Pm2Nd3YTe6: relaxed, PBE.

The formation energy (no corrections) comes out at -1.4005 eV per atom. For the density of states at the Fermi level, the calculation gives 13.0 states/eV per cell. The total magnetization is 0.000 μB per formula unit. The value obtained for the total energy is -5.494 eV/atom.

The structure belongs to space group C2/m (No. 12); the cell edges are 19.469, 4.441 and 8.988 Å and the angles 90.00°, 103.28° and 90.00°. Symmetry generates all atoms from Pm at (0.168, 0.000, 0.336), Nd at (0.000, 0.500, 0.500), Nd at (0.170, 0.000, 0.834), Y at (0.000, 0.500, 0.000), Te at (0.000, 0.000, 0.242), Te at (0.162, 0.500, 0.083) and Te at (0.166, 0.500, 0.582).

=====

Pm2NdYTe6: relaxed, PBE.

The formation energy (no corrections) comes out at -1.3818 eV per atom. The total magnetization is 0.000 μB per formula unit. The value obtained for the total energy is -5.340 eV/atom.

The structure belongs to space group R3 (No. 146, hexagonal axes); the cell edges are 7.8716, 7.8716 and 21.4205 Å and the angles 90.00°, 90.00° and 120.00°. Symmetry generates all atoms from Pm at (0.0000, 0.0000, 0.0000), Pm at (0.0000, 0.0000, 0.4985), Nd at (0.0000, 0.0000, 0.1897), Y at (0.0000, 0.0000, 0.6877), Te at (0.9998, 0.6937, 0.5957) and Te at (0.0239, 0.3484, 0.7609).

=====

Pm4Nd3YTe8: relaxed, PBE.

The formation energy (no corrections) comes out at -1.3954 eV per atom. For the density of states at the Fermi level, the calculation gives 37.8 states/eV per cell. The total magnetization is 0.000 μB per formula unit. The value obtained for the total energy is -5.452 eV/atom.

The structure belongs to space group R-3m (No. 166, hexagonal axes); the cell edges are 8.9435, 8.9435 and 21.8634 Å and the angles 90.00°, 90.00° and 120.00°. Symmetry generates all atoms from Pm at (0.0000, 0.0000, 0.0000), Pm at (0.0000, 0.5000, 0.0000), Nd at (0.0000, 0.5000, 0.5000), Y at (0.0000, 0.0000, 0.5000), Te at (0.0000, 0.0000, 0.2509) and Te at (0.0053, 0.5027, 0.2495).

=====

PmNd2Y3Te6: relaxed, PBE.

The formation energy (no corrections) comes out at -1.3676 eV per atom. For the density of states at the Fermi level, the calculation gives 12.6 states/eV per cell. The total magnetization is 0.000 μB per formula unit. The value obtained for the total energy is -5.745 eV/atom.

The structure belongs to space group C2/m (No. 12); the cell edges are 19.349, 4.391 and 8.931 Å and the angles 90.00°, 104.05° and 90.00°. Symmetry generates all atoms from Pm at (0.000, 0.000, 0.000), Nd at (0.167, 0.500, 0.334), Y at (0.000, 0.000, 0.500), Y at (0.167, 0.500, 0.834), Te at (0.003, 0.500, 0.746), Te at (0.164, 0.000, 0.590) and Te at (0.168, 0.000, 0.077).

=====

Pm6Nd3Th: relaxed, PBE.

For the density of states at the Fermi level, the calculation gives 30.3 states/eV per cell. The total magnetization is 0.000 μB per formula unit. For the formation enthalpy at 0 K, the calculation gives 0.26 eV/f.u. The value obtained for the total energy is -4.997 eV/atom.

The structure belongs to space group P-1 (No. 2); the cell edges are 3.660, 6.349 and 29.752 Å and the angles 94.03°, 90.07° and 90.01°. Symmetry generates all atoms from Pm at (0.000, 0.129, 0.402), Pm at (0.004, 0.693, 0.098), Pm at (0.496, 0.796, 0.901), Pm at (0.497, 0.097, 0.800), Pm at (0.497, 0.732, 0.699), Pm at (0.499, 0.361, 0.599), Nd at (0.000, 0.000, 0.000), Nd at (0.000, 0.500, 0.500), Nd at (0.003, 0.401, 0.201), Nd at (0.003, 0.768, 0.299), Th at (0.500, 0.000, 0.500) and Th at (0.500, 0.500, 0.000).

=====

Pm10NdTh4: relaxed, PBE.

For the density of states at the Fermi level, the calculation gives 45.1 states/eV per cell. The total magnetization is 0.000 μB per formula unit. For the formation enthalpy at 0 K, the calculation gives 5.22 eV/f.u. The value obtained for the total energy is -5.116 eV/atom.

The structure belongs to space group I4/m (No. 87); the cell edges are 9.823, 9.823 and 10.869 Å and the angles 90.00°, 90.00° and 90.00°. Symmetry generates all atoms from Pm at (0.000, 0.500, 0.250), Pm at (0.118, 0.211, 0.157), Nd at (0.000, 0.000, 0.500) and Th at (0.059, 0.335, 0.500).

=====

PmNd2Th2: relaxed, PBE.

For the density of states at the Fermi level, the calculation gives 16.7 states/eV per cell. The total magnetization is 0.000 μB per formula unit. For the formation enthalpy at 0 K, the calculation gives 1.91 eV/f.u. The value obtained for the total energy is -5.444 eV/atom. Its relative energy among the computed polymorphs is 169 kJ/mol of formula units.

The structure belongs to space group I4/mmm (No. 139); the cell edges are 4.762, 4.762 and 15.935 Å and the angles 90.00°, 90.00° and 90.00°. Symmetry generates all atoms from Pm at (0.000, 0.000, 0.000), Nd at (0.000, 0.000, 0.402) and Th at (0.000, 0.500, 0.250).

=====

Pm8Nd2Th3: relaxed, PBE.

For the density of states at the Fermi level, the calculation gives 40.4 states/eV per cell. The total magnetization is 0.000 μB per formula unit. For the formation enthalpy at 0 K, the calculation gives 3.13 eV/f.u. The value obtained for the total energy is -5.129 eV/atom.

The structure belongs to space group C2/m (No. 12); the cell edges are 10.146, 11.027 and 8.782 Å and the angles 90.00°, 112.88° and 90.00°. Symmetry generates all atoms from Pm at (0.096, 0.000, 0.215), Pm at (0.096, 0.500, 0.352), Pm at (0.162, 0.258, 0.680), Nd at (0.228, 0.500, 0.035), Th at (0.000, 0.000, 0.500) and Th at (0.000, 0.262, 0.000).

=====

Pm4Nd8Th: relaxed, PBE.

For the density of states at the Fermi level, the calculation gives 70.9 states/eV per cell. The total magnetization is 0.976 μB per formula unit. For the formation enthalpy at 0 K, the calculation gives 6.19 eV/f.u. The value obtained for the total energy is -4.490 eV/atom.

The structure belongs to space group R-3m (No. 166, hexagonal axes); the cell edges are 11.2382, 11.2382 and 13.7197 Å and the angles 90.00°, 90.00° and 120.00°. Symmetry generates all atoms from Pm at (0.0000, 0.0000, 0.0000), Pm at (0.0000, 0.5000, 0.0000), Nd at (0.0000, 0.0000, 0.2402), Nd at (0.0124, 0.5062, 0.7462) and Th at (0.0000, 0.0000, 0.5000).